Computed, not measured: a geometry-optimized KV2C structure at the GGA-PBE level of DFT.

- symmetry = I4_1/amd
- energy relative to the elements (meV per atom) = 805
- density (kg/m3) = 2719
- final energy (eV per atom) = -6.334

Unit cell a=6.414 b=6.414 c=6.420 alpha=60.03 beta=60.03 gamma=90.00
Fractional coordinates of all 8 atoms:
K1 0.000 0.000 0.000
K2 0.750 0.250 0.500
C1 0.500 0.500 0.000
C2 0.250 0.750 0.500
V1 0.375 0.125 0.250
V2 0.375 0.625 0.250
V3 0.375 0.625 0.750
V4 0.875 0.625 0.750



Computed, not measured: a geometry-optimized Li3PuTi2Se6 structure at the GGA-PBE level of DFT.

- symmetry = C2/m
- raw formation energy (kcal/mol of atoms) = -29.0
- density (kg/m3) = 5632
- final energy (eV per atom) = -5.989

Unit cell a=6.639 b=6.639 c=6.829 alpha=99.41 beta=99.41 gamma=120.11
Fractional coordinates of all 12 atoms:
Li1 0.160 0.840 0.500
Li2 0.840 0.160 0.500
Li3 0.500 0.500 0.500
Pu1 0.000 0.000 0.000
Ti1 0.332 0.668 0.000
Ti2 0.668 0.332 0.000
Se1 0.918 0.561 0.757
Se2 0.724 0.724 0.243
Se3 0.082 0.439 0.243
Se4 0.561 0.918 0.757
Se5 0.276 0.276 0.757
Se6 0.439 0.082 0.243



Computed, not measured: a geometry-optimized CePmCu2Ge2 structure at the GGA-PBE level of DFT.

- symmetry = P-3m1
- energy relative to the elements (meV per atom) = -627
- density (kg/m3) = 7493
- final energy (eV per atom) = -5.312

Unit cell a=4.271 b=4.271 c=7.822 alpha=90.00 beta=90.00 gamma=120.00
Fractional coordinates of all 6 atoms:
Ce1 0.000 0.000 0.500
Pm1 0.000 0.000 0.000
Cu1 0.333 0.667 0.750
Cu2 0.667 0.333 0.250
Ge1 0.333 0.667 0.254
Ge2 0.667 0.333 0.746



Table of total magnetization (μB per cell), in record order: 10.29, 7.01, 0.93